Material: PaNiSe2O8
Method: DFT, PBE with a Hubbard U
State: optimized geometry

Unit cell a=6.580 b=6.580 c=6.580 alpha=133.04 beta=133.04 gamma=68.59
Fractional coordinates of all 12 atoms:
Pa1 0.000 0.000 0.000
Ni1 0.250 0.750 0.500
Se1 0.500 0.500 0.000
Se2 0.750 0.250 0.500
O1 0.258 0.635 0.064
O2 0.365 0.429 0.623
O3 0.377 0.005 0.071
O4 0.571 0.194 0.936
O5 0.694 0.623 0.628
O6 0.806 0.742 0.377
O7 0.934 0.306 0.929
O8 0.995 0.066 0.372

Uncorrected energy   -0.447 Ry per atom
ρ   6.40 Mg/m³